(1)
A relaxed structure of CaIrOs2, computed with PBE-GGA.

abc: 4.801 2.791 4.984
angles: 83.06 90.00 90.00
Atoms (fractional coordinates):
1 Os 0.000 0.923 0.984
2 Os 0.000 0.577 0.516
3 Ir 0.500 0.750 0.750
4 Ca 0.500 0.250 0.250

Output
Energy of formation = 532 meV/atom
Symmetry = No. 10
ΔE to the lowest computed polymorph = 313 meV/atom

(2)
A relaxed structure of InGa2Ge2, computed with PBE-GGA.

abc: 8.214 8.214 3.083
angles: 90.00 90.00 90.00
Atoms (fractional coordinates):
1 In 0.500 0.500 0.000
2 Ge 0.346 0.846 0.000
3 Ga 0.858 0.358 0.500
4 Ge 0.154 0.346 0.000
5 Ga 0.642 0.858 0.500
6 Ge 0.846 0.654 0.000
7 In 0.000 0.000 0.000
8 Ga 0.142 0.642 0.500
9 Ge 0.654 0.154 0.000
10 Ga 0.358 0.142 0.500

Output
Energy of formation = 132 meV/atom
Symmetry = No. 127
ΔE to the lowest computed polymorph = 51 meV/atom

(3)
A relaxed structure of BaCrBr2, computed with PBE-GGA.

abc: 4.612 4.858 6.499
angles: 66.43 90.00 90.00
Atoms (fractional coordinates):
1 Cr 0.000 0.629 0.382
2 Br 0.000 0.990 0.942
3 Ba 0.500 0.578 0.797
4 Br 0.500 0.304 0.378

Output
Symmetry = No. 6
Formation energy from raw total energies = -0.80 eV per atom
ΔE to the lowest computed polymorph = 0 meV/atom

(4)
A relaxed structure of Cs2PuHg2Br6, computed with PBE-GGA.

abc: 7.816 9.923 8.742
angles: 124.02 90.00 113.19
Atoms (fractional coordinates):
1 Hg 0.097 0.194 0.205
2 Br 0.657 0.314 0.516
3 Br 0.829 0.163 0.787
4 Br 0.666 0.837 0.213
5 Hg 0.903 0.806 0.795
6 Cs 0.249 0.498 0.768
7 Br 0.343 0.686 0.484
8 Br 0.334 0.163 0.787
9 Cs 0.751 0.502 0.232
10 Br 0.171 0.837 0.213
11 Pu 0.500 0.000 0.500

Output
Symmetry = No. 12
Formation energy from raw total energies = -1.26 eV per atom

(5)
A relaxed structure of RbAcPr2S4, computed with PBE-GGA.

abc: 8.539 8.539 8.396
angles: 119.45 119.45 89.91
Atoms (fractional coordinates):
1 Ac 0.500 0.500 0.500
2 S 0.723 0.230 0.976
3 Pr 0.500 0.500 0.000
4 S 0.277 0.770 0.024
5 Ac 0.000 0.000 0.000
6 S 0.730 0.223 0.476
7 S 0.741 0.759 0.006
8 S 0.270 0.777 0.524
9 S 0.259 0.241 0.994
10 Pr 0.500 0.000 0.500
11 Pr 0.500 0.000 0.000
12 S 0.741 0.759 0.494
13 Pr 0.000 0.000 0.500
14 Rb 0.000 0.500 0.000
15 S 0.259 0.241 0.506
16 Rb 0.000 0.500 0.500

Output
Symmetry = No. 74
Formation energy from raw total energies = -1.87 eV per atom

(6)
A relaxed structure of NaInNi, computed with PBE-GGA.

abc: 3.482 3.482 6.007
angles: 106.85 106.85 90.00
Atoms (fractional coordinates):
1 Na 0.998 0.998 0.996
2 Ni 0.282 0.282 0.564
3 In 0.720 0.720 0.440

Output
Energy of formation = 98 meV/atom
Symmetry = No. 107

(7)
A relaxed structure of Zr6Co2Hg, computed with PBE-GGA.

abc: 7.828 7.828 7.828
angles: 101.25 115.04 112.44
Atoms (fractional coordinates):
1 Zr 0.203 0.439 0.236
2 Co 0.652 0.652 0.000
3 Zr 0.307 0.675 0.982
4 Zr 0.509 0.810 0.699
5 Zr 0.693 0.325 0.018
6 Zr 0.307 0.325 0.632
7 Zr 0.693 0.675 0.368
8 Co 0.348 0.348 0.000
9 Zr 0.111 0.810 0.301
10 Zr 0.797 0.561 0.764
11 Co 0.500 0.876 0.376
12 Zr 0.889 0.190 0.699
13 Zr 0.491 0.190 0.301
14 Hg 0.000 0.500 0.500
15 Co 0.500 0.124 0.624
16 Hg 0.000 0.000 0.000
17 Zr 0.797 0.033 0.236
18 Zr 0.203 0.967 0.764

Output
Energy of formation = -182 meV/atom
Symmetry = No. 71

(8)
A relaxed structure of Zn2CoPd, computed with PBE-GGA.

abc: 3.031 4.175 4.175
angles: 90.00 90.00 90.00
Atoms (fractional coordinates):
1 Co 0.500 0.500 0.500
2 Pd 0.500 0.000 0.000
3 Zn 0.000 0.000 0.500
4 Zn 0.000 0.500 0.000

Output
Energy of formation = -226 meV/atom
Symmetry = No. 123

(9)
A relaxed structure of GaCo2B, computed with PBE-GGA.

abc: 2.555 2.555 5.998
angles: 90.00 90.00 90.00
Atoms (fractional coordinates):
1 Ga 0.500 0.500 0.500
2 Co 0.000 0.000 0.801
3 Co 0.000 0.000 0.199
4 B 0.500 0.500 0.000

Output
Energy of formation = -189 meV/atom
Symmetry = No. 123
ΔE to the lowest computed polymorph = 0 meV/atom

(10)
A relaxed structure of CuHRh, computed with PBE-GGA.

abc: 4.846 4.846 4.027
angles: 114.66 114.66 44.17
Atoms (fractional coordinates):
1 Rh 0.887 0.887 0.137
2 Cu 0.635 0.635 0.385
3 H 0.658 0.658 0.911
4 Rh 0.113 0.113 0.863
5 H 0.342 0.342 0.089
6 Cu 0.365 0.365 0.615

Output
Symmetry = No. 12
ΔE to the lowest computed polymorph = 38 meV/atom

(11)
A relaxed structure of HfAuN2F, computed with PBE-GGA.

abc: 4.085 4.085 4.065
angles: 90.00 90.00 90.00
Atoms (fractional coordinates):
1 N 0.500 0.000 0.000
2 F 0.000 0.000 0.500
3 Hf 0.500 0.500 0.500
4 N 0.000 0.500 0.000
5 Au 0.000 0.000 0.000

Output
Symmetry = No. 123
Formation energy from raw total energies = 0.79 eV per atom
ΔE to the lowest computed polymorph = 1119 meV/atom

(12)
A relaxed structure of Mo3C5, computed with PBE-GGA.

abc: 4.400 4.400 4.023
angles: 90.00 90.00 103.23
Atoms (fractional coordinates):
1 C 0.649 0.649 0.500
2 C 0.351 0.351 0.500
3 Mo 0.792 0.208 0.500
4 C 0.000 0.000 0.000
5 Mo 0.208 0.792 0.500
6 C 0.500 0.000 0.000
7 Mo 0.500 0.500 0.000
8 C 0.000 0.500 0.000

Output
Energy of formation = 1354 meV/atom
Symmetry = No. 65
ΔE to the lowest computed polymorph = 594 meV/atom

Number 1: density 15.35 g/cm3. Number 2: density 6.38 g/cm3. Number 3: density 4.34 g/cm3. Number 4: density 4.67 g/cm3. Number 5: density 5.45 g/cm3. Number 6: density 4.91 g/cm3. Number 7: density 7.91 g/cm3. Number 8: density 9.31 g/cm3. Number 9: density 8.41 g/cm3. Number 10: density 9.45 g/cm3. Number 11: density 10.34 g/cm3. Number 12: density 7.62 g/cm3.